A geometry-optimized BaLiPCl2 structure, computed with PBE.

Unit cell a=4.8847 b=4.8847 c=5.1599 alpha=90.00 beta=90.00 gamma=90.00
With the nearest neighbours (Å) after each atom.
Sites, in units of the cell vectors:
Cl 0.5000 0.0000 0.0000  2 Li 2.44
Cl 0.0000 0.5000 0.0000  2 Li 2.44
P 0.0000 0.0000 0.5000  2 Li 2.58
Li 0.0000 0.0000 0.0000  4 Cl 2.44, 2 P 2.58
Ba 0.5000 0.5000 0.5000  4 P 3.45, 8 Cl 3.55

Output
- Volume: 24.62 A^3/atom
- Raw formation energy: -112 kJ per mole of atoms
- DOS(E_F): 0.3566 states/eV/atom
- Energy: -0.2753 Ry/atom